InPd9Pb2 | PBE | optimized geometry

Computed properties:
DOS(E_F)	0.63	states/eV/atom
symmetry	No. 123
uncorrected energy	-5.076	eV per atom

Cell and atoms, written as POSCAR:
```
InPd9Pb2
1.0
4.0862 0.0000 0.0000
0.0000 4.0862 0.0000
0.0000 0.0000 12.2611
In Pd Pb
1 9 2
Cartesian
0.0000 0.0000 0.0000 In
0.0000 2.0431 1.9895 Pd
0.0000 2.0431 6.1306 Pd
0.0000 2.0431 10.2716 Pd
2.0431 0.0000 1.9895 Pd
2.0431 0.0000 6.1306 Pd
2.0431 0.0000 10.2716 Pd
2.0431 2.0431 0.0000 Pd
2.0431 2.0431 4.0798 Pd
2.0431 2.0431 8.1813 Pd
0.0000 0.0000 4.0456 Pb
0.0000 0.0000 8.2155 Pb
```